[1]
Material: KMnPb2
Method: DFT, SCAN
State: PBEsol geometry

Calculated values
Distance to the lowest polymorph of the same formula: 0.000 eV/atom
E_form: -0.108 eV/atom

Unit cell a=3.3630 b=3.3630 c=9.0944 alpha=90.00 beta=90.00 gamma=90.00
Last column: nearest neighbours and their distance in Å.
Fractional coordinates of all 4 atoms:
K 0.0000 0.0000 0.0000  4 K 3.36, 8 Pb 3.64
Mn 0.0000 0.0000 0.5000  8 Pb 2.97
Pb 0.5000 0.5000 0.3036  4 Mn 2.97
Pb 0.5000 0.5000 0.6964  4 Mn 2.97

[2]
Material: KTiMnPb2
Method: DFT, SCAN
State: PBEsol geometry

Calculated values
E_form: 0.225 eV/atom

Unit cell a=5.2584 b=5.2584 c=4.4600 alpha=90.00 beta=90.00 gamma=90.00
Last column: nearest neighbours and their distance in Å.
Fractional coordinates of all 5 atoms:
K 0.0000 0.0000 0.0000  8 Pb 3.45, 4 Ti 3.72
Ti 0.5000 0.5000 0.0000  2 Mn 2.23
Mn 0.5000 0.5000 0.5000  2 Ti 2.23
Pb 0.0000 0.5000 0.5000  2 Mn 2.63
Pb 0.5000 0.0000 0.5000  2 Mn 2.63

[3]
Material: KTi2MnPb
Method: DFT, SCAN
State: PBEsol geometry

Calculated values
E_form: 1.110 eV/atom

Unit cell a=5.2780 b=5.2780 c=6.0319 alpha=90.00 beta=90.00 gamma=90.00
Last column: nearest neighbours and their distance in Å.
Fractional coordinates of all 5 atoms:
K 0.0000 0.0000 0.0000  2 Pb 3.02
Ti 0.0000 0.5000 0.5000  2 Pb 2.64
Ti 0.5000 0.0000 0.5000  2 Pb 2.64
Mn 0.5000 0.5000 0.0000  4 K 3.73, 8 Ti 4.01
Pb 0.0000 0.0000 0.5000  4 Ti 2.64

[4]
Material: KMnPd3
Method: DFT, SCAN
State: PBEsol geometry

Calculated values
E_form: 0.295 eV/atom

Unit cell a=4.7189 b=4.7189 c=4.7189 alpha=90.00 beta=90.00 gamma=90.00
Last column: nearest neighbours and their distance in Å.
Fractional coordinates of all 5 atoms:
K 0.0000 0.0000 0.0000  12 Pd 3.34
Mn 0.5000 0.5000 0.5000  6 Pd 2.36
Pd 0.0000 0.5000 0.5000  2 Mn 2.36
Pd 0.5000 0.0000 0.5000  2 Mn 2.36
Pd 0.5000 0.5000 0.0000  2 Mn 2.36

[5]
Material: KMnPt
Method: DFT, SCAN
State: PBEsol geometry

Calculated values
Distance to the lowest polymorph of the same formula: 0.000 eV/atom
E_form: -0.154 eV/atom

Unit cell a=6.4287 b=6.4287 c=6.4287 alpha=148.87 beta=148.87 gamma=44.60
Last column: nearest neighbours and their distance in Å.
Fractional coordinates of all 3 atoms:
K 0.0000 0.0000 0.0000  1 Mn 3.18, 1 Pt 3.34, 4 K 3.45
Mn 0.2673 0.2673 0.0000  4 Pt 2.51
Pt 0.7194 0.7194 0.0000  4 Mn 2.51

[6]
Material: KMnPt
Method: DFT, SCAN
State: PBEsol geometry

Calculated values
Distance to the lowest polymorph of the same formula: 1.220 eV/atom
E_form: 1.066 eV/atom

Unit cell a=4.6864 b=4.6864 c=4.6864 alpha=60.00 beta=60.00 gamma=60.00
Last column: nearest neighbours and their distance in Å.
Fractional coordinates of all 3 atoms:
K 0.0000 0.0000 0.0000  4 Mn 2.87, 4 Pt 2.87
Mn 0.2500 0.2500 0.2500  4 K 2.87
Pt 0.7500 0.7500 0.7500  4 K 2.87

[7]
Material: KMnPt2
Method: DFT, SCAN
State: PBEsol geometry

Calculated values
E_form: 0.133 eV/atom

Unit cell a=5.0299 b=5.0299 c=2.7853 alpha=90.00 beta=90.00 gamma=90.00
Last column: nearest neighbours and their distance in Å.
Fractional coordinates of all 4 atoms:
K 0.0000 0.0000 0.0000  2 K 2.79, 8 Pt 2.87
Mn 0.5000 0.5000 0.0000  2 Mn 2.79, 8 Pt 2.87
Pt 0.0000 0.5000 0.5000  2 Pt 2.79, 4 Mn 2.87, 4 K 2.87
Pt 0.5000 0.0000 0.5000  2 Pt 2.79, 4 Mn 2.87, 4 K 2.87

[8]
Material: KMnPt2
Method: DFT, SCAN
State: PBEsol geometry

Calculated values
E_form: -0.098 eV/atom

Unit cell a=2.7771 b=3.9246 c=7.3001 alpha=90.00 beta=90.00 gamma=90.00
Last column: nearest neighbours and their distance in Å.
Fractional coordinates of all 4 atoms:
K 0.0000 0.0000 0.0000  2 K 2.78
Mn 0.5000 0.5000 0.3645  5 Pt 2.48-2.59
Pt 0.0000 0.0000 0.4977  4 Mn 2.59, 6 Pt 2.78-2.84
Pt 0.5000 0.5000 0.7039  1 Mn 2.48